Ac2CdGa | the Alexandria database | PBE | optimized geometry; space-group type = P4/mmm, No. 123; calculated formation energy = -8.63 kcal/mol of atoms
1.0
3.958 0.000 0.000
0.000 3.958 0.000
0.000 0.000 8.139
Ac Cd Ga
2 1 1
direct
0.000 0.000 0.234 Ac
0.000 0.000 0.766 Ac
0.500 0.500 0.500 Cd
0.500 0.500 0.000 Ga

=====

Ac3CdGa2 | the Alexandria database | PBE | optimized geometry; space-group type = P-3m1, No. 164; E above lowest polymorph = 0.047 eV/f.u.; calculated formation energy = -8.89 kcal/mol of atoms
1.0
5.623 0.000 0.000
-2.812 4.870 0.000
0.000 0.000 13.802
Ac Cd Ga
6 2 4
direct
0.000 0.000 0.241 Ac
0.000 0.000 0.759 Ac
0.333 0.667 0.417 Ac
0.333 0.667 0.925 Ac
0.667 0.333 0.075 Ac
0.667 0.333 0.583 Ac
0.333 0.667 0.672 Cd
0.667 0.333 0.328 Cd
0.000 0.000 0.000 Ga
0.000 0.000 0.500 Ga
0.333 0.667 0.173 Ga
0.667 0.333 0.827 Ga

=====

Ac5CdGa4 | the Alexandria database | PBE | optimized geometry; space-group type = P4/mmm, No. 123; calculated formation energy = -9.42 kcal/mol of atoms
1.0
3.931 0.000 0.000
0.000 3.931 0.000
0.000 0.000 20.003
Ac Cd Ga
5 1 4
direct
0.000 0.000 0.000 Ac
0.000 0.000 0.196 Ac
0.000 0.000 0.390 Ac
0.000 0.000 0.610 Ac
0.000 0.000 0.804 Ac
0.500 0.500 0.500 Cd
0.500 0.500 0.097 Ga
0.500 0.500 0.295 Ga
0.500 0.500 0.705 Ga
0.500 0.500 0.903 Ga

=====

Ac2Cd2Ga | the Alexandria database | PBE | optimized geometry; space-group type = C2/m, No. 12; E above lowest polymorph = 0.140 eV/f.u.; calculated formation energy = -7.67 kcal/mol of atoms
1.0
6.131 -2.509 0.000
6.131 2.509 0.000
-4.001 0.000 9.686
Ac Cd Ga
4 4 2
direct
0.106 0.106 0.388 Ac
0.167 0.167 0.047 Ac
0.833 0.833 0.953 Ac
0.894 0.894 0.612 Ac
0.397 0.397 0.364 Cd
0.485 0.485 0.851 Cd
0.515 0.515 0.149 Cd
0.603 0.603 0.636 Cd
0.224 0.224 0.731 Ga
0.776 0.776 0.269 Ga

=====

Ac6CdGa2 | the Alexandria database | PBE | optimized geometry; space-group type = Immm, No. 71; E above lowest polymorph = 0.000 eV/f.u.; calculated formation energy = -6.33 kcal/mol of atoms
1.0
-5.358 5.413 5.728
5.358 -5.413 5.728
5.358 5.413 -5.728
Ac Cd Ga
12 2 4
direct
0.048 0.245 0.804 Ac
0.177 0.274 0.451 Ac
0.177 0.726 0.903 Ac
0.326 0.025 0.699 Ac
0.326 0.627 0.301 Ac
0.441 0.245 0.196 Ac
0.559 0.755 0.804 Ac
0.674 0.373 0.699 Ac
0.674 0.975 0.301 Ac
0.823 0.274 0.097 Ac
0.823 0.726 0.549 Ac
0.952 0.755 0.196 Ac
0.000 0.000 0.000 Cd
0.500 0.500 0.000 Cd
0.115 0.615 0.500 Ga
0.351 0.000 0.351 Ga
0.649 0.000 0.649 Ga
0.885 0.385 0.500 Ga

=====

AcCdGa | the Alexandria database | PBE | optimized geometry; space-group type = C2/m, No. 12; E above lowest polymorph = 0.000 eV/f.u.; calculated formation energy = -10.42 kcal/mol of atoms
1.0
5.748 -2.462 0.000
5.748 2.462 0.000
-5.570 0.000 5.815
Ac Cd Ga
2 2 2
direct
0.038 0.038 0.289 Ac
0.962 0.962 0.711 Ac
0.330 0.330 0.270 Cd
0.670 0.670 0.730 Cd
0.345 0.345 0.890 Ga
0.655 0.655 0.110 Ga

=====

AcCd4Ga | the Alexandria database | PBE | optimized geometry; space-group type = Cmcm, No. 63; E above lowest polymorph = 0.000 eV/f.u.; calculated formation energy = -5.77 kcal/mol of atoms
1.0
2.326 -8.672 0.000
2.326 8.672 0.000
0.000 0.000 7.486
Ac Cd Ga
2 8 2
direct
0.126 0.874 0.750 Ac
0.874 0.126 0.250 Ac
0.068 0.932 0.250 Cd
0.325 0.675 0.557 Cd
0.325 0.675 0.943 Cd
0.500 0.500 0.000 Cd
0.500 0.500 0.500 Cd
0.675 0.325 0.057 Cd
0.675 0.325 0.443 Cd
0.932 0.068 0.750 Cd
0.232 0.768 0.250 Ga
0.768 0.232 0.750 Ga

=====

AcCd3Ga2 | the Alexandria database | PBE | optimized geometry; space-group type = C2/m, No. 12; calculated formation energy = -7.42 kcal/mol of atoms
1.0
8.490 -2.289 0.000
8.490 2.289 0.000
-3.618 0.000 7.428
Ac Cd Ga
2 6 4
direct
0.146 0.146 0.070 Ac
0.854 0.854 0.930 Ac
0.042 0.042 0.375 Cd
0.314 0.314 0.552 Cd
0.393 0.393 0.289 Cd
0.607 0.607 0.711 Cd
0.686 0.686 0.448 Cd
0.958 0.958 0.625 Cd
0.203 0.203 0.721 Ga
0.481 0.481 0.836 Ga
0.519 0.519 0.164 Ga
0.797 0.797 0.279 Ga

=====

AcCd3Ga3 | the Alexandria database | PBE | optimized geometry; space-group type = P2_1/m, No. 11; calculated formation energy = -5.90 kcal/mol of atoms
1.0
7.981 0.000 0.000
0.000 4.559 0.000
-0.016 0.000 8.991
Ac Cd Ga
2 6 6
direct
0.250 0.250 0.239 Ac
0.750 0.750 0.761 Ac
0.058 0.250 0.624 Cd
0.250 0.750 0.840 Cd
0.442 0.250 0.623 Cd
0.558 0.750 0.377 Cd
0.750 0.250 0.160 Cd
0.942 0.750 0.376 Cd
0.010 0.750 0.071 Ga
0.250 0.750 0.529 Ga
0.489 0.750 0.072 Ga
0.511 0.250 0.928 Ga
0.750 0.250 0.471 Ga
0.990 0.250 0.929 Ga

=====

Ac3Cd4Ga2 | the Alexandria database | PBE | optimized geometry; space-group type = C2/m, No. 12; calculated formation energy = -9.01 kcal/mol of atoms
1.0
5.913 -2.485 0.000
5.913 2.485 0.000
-3.488 0.000 8.832
Ac Cd Ga
3 4 2
direct
0.000 0.000 0.000 Ac
0.330 0.330 0.336 Ac
0.670 0.670 0.664 Ac
0.057 0.057 0.387 Cd
0.289 0.289 0.952 Cd
0.711 0.711 0.048 Cd
0.943 0.943 0.613 Cd
0.400 0.400 0.731 Ga
0.600 0.600 0.269 Ga

=====

Ac3CdGa | the Alexandria database | PBE | optimized geometry; space-group type = P2_1/c, No. 14; E above lowest polymorph = 0.406 eV/f.u.; calculated formation energy = -4.46 kcal/mol of atoms
1.0
10.667 0.000 0.000
0.000 6.440 0.000
-6.190 0.000 10.203
Ac Cd Ga
12 4 4
direct
0.002 0.069 0.159 Ac
0.002 0.431 0.659 Ac
0.350 0.677 0.945 Ac
0.350 0.823 0.445 Ac
0.380 0.124 0.157 Ac
0.380 0.376 0.657 Ac
0.620 0.624 0.343 Ac
0.620 0.876 0.843 Ac
0.650 0.177 0.555 Ac
0.650 0.323 0.055 Ac
0.998 0.569 0.341 Ac
0.998 0.931 0.841 Ac
0.156 0.597 0.117 Cd
0.156 0.903 0.617 Cd
0.844 0.097 0.383 Cd
0.844 0.403 0.883 Cd
0.303 0.156 0.854 Ga
0.303 0.344 0.354 Ga
0.697 0.656 0.646 Ga
0.697 0.844 0.146 Ga

=====

Ac3Cd2Ga3 | the Alexandria database | PBE | optimized geometry; space-group type = Cmcm, No. 63; calculated formation energy = -10.60 kcal/mol of atoms
1.0
2.406 -5.895 0.000
2.406 5.895 0.000
0.000 0.000 15.932
Ac Cd Ga
6 4 6
direct
0.082 0.918 0.613 Ac
0.082 0.918 0.887 Ac
0.361 0.639 0.750 Ac
0.639 0.361 0.250 Ac
0.918 0.082 0.113 Ac
0.918 0.082 0.387 Ac
0.213 0.787 0.088 Cd
0.213 0.787 0.412 Cd
0.787 0.213 0.588 Cd
0.787 0.213 0.912 Cd
0.341 0.659 0.250 Ga
0.399 0.601 0.542 Ga
0.399 0.601 0.958 Ga
0.601 0.399 0.042 Ga
0.601 0.399 0.458 Ga
0.659 0.341 0.750 Ga